Compound: Fe3ReP
Source: Alexandria via LeMat-Bulk
Functional: GGA-PBE
Structure: relaxed

abc: 4.085 4.085 4.085
angles: 90.00 90.00 90.00
Atoms (fractional coordinates):
Fe 0.000 0.000 0.500
Fe 0.000 0.500 0.000
Fe 0.500 0.000 0.000
Re 0.500 0.500 0.500
P 0.000 0.000 0.000

## Properties
space group: Pm-3m
calculated formation energy: 0.6903 eV per atom
calculated total energy: -7.959 eV/atom
spin magnetization: 5.8 μB/cell

Compound: Tb2GaSiNi6
Source: Alexandria via LeMat-Bulk
Functional: GGA-PBE
Structure: relaxed

abc: 5.935 5.938 6.126
angles: 91.06 118.33 118.66
Atoms (fractional coordinates):
Tb 0.087 0.211 0.286
Tb 0.913 0.789 0.714
Ga 0.500 0.000 0.500
Si 0.500 0.500 0.000
Ni 0.001 0.638 0.178
Ni 0.301 0.665 0.670
Ni 0.445 0.827 0.119
Ni 0.555 0.173 0.881
Ni 0.699 0.335 0.330
Ni 0.999 0.362 0.822

## Properties
space group: P-1
calculated total energy: -5.616 eV/atom
spin magnetization: 0.0 μB/cell
formation energy without anion corrections: -375.8 meV per atom

Compound: Ni2PbCl
Source: Alexandria via LeMat-Bulk
Functional: GGA-PBE
Structure: relaxed

abc: 3.366 3.366 7.401
angles: 90.00 90.00 119.23
Atoms (fractional coordinates):
Ni 0.000 0.000 0.237
Ni 0.000 0.000 0.763
Pb 0.500 0.500 0.500
Cl 0.500 0.500 0.000

## Properties
space group: Cmmm
calculated total energy: -3.962 eV/atom
spin magnetization: 0.0 μB/cell
formation energy without anion corrections: 317.6 meV per atom